Crystalline MnNiAuO4 at its relaxed geometry. Source: Alexandria via LeMat-Bulk, functional PBE with a Hubbard U.

Cell lengths 6.0811, 6.0811, 6.0811 Å; angles 120.72, 115.07, 93.75 degrees
Element x y z (fractional)
Mn  0.5000  0.0000  0.0000
Mn  0.5000  0.5000  0.5000
Ni  0.0000  0.0000  0.0000
Ni  0.5000  0.0000  0.5000
Au  0.0945  0.3445  0.7500
Au  0.9055  0.6555  0.2500
O  0.2679  0.2313  0.4634
O  0.2679  0.8046  0.0366
O  0.3036  0.2489  0.0547
O  0.3057  0.7511  0.5547
O  0.6943  0.2489  0.4453
O  0.6964  0.7511  0.9453
O  0.7321  0.1954  0.9634
O  0.7321  0.7687  0.5366

Summary:
Space group   Imma
Electronic total energy   -76.959 eV per cell